The following is a DFT calculation (PBE) of crystalline TiVZn2Ni at its relaxed geometry.

Geometry as CIF:
```
data_TiVZn2Ni
_cell_length_a 4.399
_cell_length_b 4.377
_cell_length_c 4.399
_cell_angle_alpha 90.00
_cell_angle_beta 90.00
_cell_angle_gamma 90.00
_space_group_name_H-M_alt 'P 1'
_space_group_IT_number 1
_space_group_name_Hall 'P 1'
loop_
_atom_site_label
_atom_site_type_symbol
_atom_site_fract_x
_atom_site_fract_y
_atom_site_fract_z
_atom_site_occupancy
Ni1 Ni 0.000 0.000 0.000 1
Zn1 Zn 0.000 0.000 0.500 1
Zn2 Zn 0.500 0.000 0.000 1
Ti1 Ti 0.000 0.500 0.000 1
V1 V 0.500 0.500 0.500 1
```

Summary:
DOS at the Fermi energy   10.591 states/eV/cell
Crystal system   tetragonal
Energy of formation from the pure elements   0.62 eV/atom
Total moment   0.00 μB per formula unit
Theoretical density   5653 kg/m³

=====

The following is a DFT calculation (PBE) of crystalline TiVZn2Ni at its relaxed geometry.

Geometry as CIF:
```
data_TiVZn2Ni
_cell_length_a 4.428
_cell_length_b 4.380
_cell_length_c 4.428
_cell_angle_alpha 90.00
_cell_angle_beta 90.00
_cell_angle_gamma 90.00
_space_group_name_H-M_alt 'P 1'
_space_group_IT_number 1
_space_group_name_Hall 'P 1'
loop_
_atom_site_label
_atom_site_type_symbol
_atom_site_fract_x
_atom_site_fract_y
_atom_site_fract_z
_atom_site_occupancy
Ni1 Ni 0.000 0.000 0.000 1
Zn1 Zn 0.000 0.000 0.500 1
Zn2 Zn 0.500 0.000 0.000 1
Ti1 Ti 0.500 0.500 0.500 1
V1 V 0.000 0.500 0.000 1
```

Summary:
DOS at the Fermi energy   4.019 states/eV/cell
Crystal system   tetragonal
Energy of formation from the pure elements   0.53 eV/atom
Total moment   3.04 μB per formula unit
Theoretical density   5575 kg/m³

=====

The following is a DFT calculation (PBE) of crystalline Ti2NiW at its relaxed geometry.

Geometry as CIF:
```
data_Ti2NiW
_cell_length_a 3.134
_cell_length_b 3.134
_cell_length_c 6.090
_cell_angle_alpha 90.00
_cell_angle_beta 90.00
_cell_angle_gamma 90.00
_space_group_name_H-M_alt 'P 1'
_space_group_IT_number 1
_space_group_name_Hall 'P 1'
loop_
_atom_site_label
_atom_site_type_symbol
_atom_site_fract_x
_atom_site_fract_y
_atom_site_fract_z
_atom_site_occupancy
Ni1 Ni 0.500 0.500 0.000 1
W1 W 0.500 0.500 0.500 1
Ti1 Ti 0.000 0.000 0.754 1
Ti2 Ti 0.000 0.000 0.246 1
```

Summary:
DOS at the Fermi energy   3.782 states/eV/cell
Crystal system   tetragonal
Energy of formation from the pure elements   -0.21 eV/atom
Total moment   0.00 μB per formula unit
Theoretical density   9393 kg/m³

=====

The following is a DFT calculation (PBE) of crystalline Ti3Ni2W at its relaxed geometry.

Geometry as CIF:
```
data_Ti3Ni2W
_cell_length_a 3.125
_cell_length_b 3.125
_cell_length_c 8.931
_cell_angle_alpha 90.00
_cell_angle_beta 90.00
_cell_angle_gamma 90.00
_space_group_name_H-M_alt 'P 1'
_space_group_IT_number 1
_space_group_name_Hall 'P 1'
loop_
_atom_site_label
_atom_site_type_symbol
_atom_site_fract_x
_atom_site_fract_y
_atom_site_fract_z
_atom_site_occupancy
Ti1 Ti 0.000 0.000 0.000 1
Ti2 Ti 0.000 0.000 0.672 1
Ti3 Ti 0.000 0.000 0.328 1
Ni1 Ni 0.500 0.500 0.847 1
Ni2 Ni 0.500 0.500 0.153 1
W1 W 0.500 0.500 0.500 1
```

Summary:
DOS at the Fermi energy   6.494 states/eV/cell
Crystal system   tetragonal
Energy of formation from the pure elements   -0.25 eV/atom
Total moment   0.00 μB per formula unit
Theoretical density   8470 kg/m³

=====

Among the records above, which one has the highest total moment?
number 2